Below is a geometry-optimized PrSm3Er7 structure, with properties calculated at the GGA-PBE level.

Cell and atoms, written as extended XYZ:
```
11
Lattice="-2.906 5.571 5.601 2.906 -5.571 5.601 2.906 5.571 -5.601" Properties=species:S:1:pos:R:3 pbc="T T T"
Pr 0.000 0.000 0.000
Sm 2.906 0.000 3.250
Sm 0.000 0.000 5.601
Sm 0.000 5.571 2.351
Er 2.906 0.000 0.000
Er 2.906 3.220 -2.159
Er 0.000 3.295 0.000
Er 2.906 3.220 2.159
Er 0.000 2.351 3.443
Er 0.000 7.848 0.000
Er 0.000 2.351 7.760
```

formation enthalpy at 0 K = 0.26 eV per atom
total DFT energy (no corrections) = -48.03 eV/cell